(1)
The following is a PBE-GGA calculation of Pr2SnTe4 after structural relaxation, from Alexandria. Values from VASP.

Distance to the lowest polymorph of the same formula = 0 meV/atom
Formation energy without anion corrections = -1.063 eV/atom

```
&SYSTEM
  ibrav = 0, nat = 7, ntyp = 3
/
ATOMIC_SPECIES
Pr 140.91 Pr.upf
Sn 118.71 Sn.upf
Te 127.60 Te.upf
ATOMIC_POSITIONS crystal
Pr 0.232 0.232 0.221
Pr 0.768 0.768 0.779
Sn 0.500 0.500 0.500
Te 0.136 0.136 0.490
Te 0.378 0.378 0.058
Te 0.622 0.622 0.942
Te 0.864 0.864 0.510
CELL_PARAMETERS angstrom
8.365 -2.276 0.000
8.365 2.276 0.000
-3.571 0.000 7.158
```


(2)
The following is a PBE-GGA calculation of Pr6Sn2Te after structural relaxation, from Alexandria. Values from VASP.

Formation energy without anion corrections = -0.688 eV/atom

```
&SYSTEM
  ibrav = 0, nat = 9, ntyp = 3
/
ATOMIC_SPECIES
Pr 140.91 Pr.upf
Sn 118.71 Sn.upf
Te 127.60 Te.upf
ATOMIC_POSITIONS crystal
Pr 0.000 0.267 0.000
Pr 0.000 0.593 0.500
Pr 0.267 0.000 0.000
Pr 0.407 0.407 0.500
Pr 0.593 0.000 0.500
Pr 0.733 0.733 0.000
Sn 0.333 0.667 0.000
Sn 0.667 0.333 0.000
Te 0.000 0.000 0.500
CELL_PARAMETERS angstrom
8.682 0.000 0.000
-4.341 7.519 0.000
0.000 0.000 4.478
```


(3)
The following is a PBE-GGA calculation of Pr7SnTe5 after structural relaxation, from Alexandria. Values from VASP.

Formation energy without anion corrections = -1.230 eV/atom

```
&SYSTEM
  ibrav = 0, nat = 26, ntyp = 3
/
ATOMIC_SPECIES
Pr 140.91 Pr.upf
Sn 118.71 Sn.upf
Te 127.60 Te.upf
ATOMIC_POSITIONS crystal
Pr 0.037 0.037 0.250
Pr 0.140 0.140 0.538
Pr 0.140 0.140 0.962
Pr 0.305 0.305 0.182
Pr 0.305 0.305 0.318
Pr 0.406 0.406 0.621
Pr 0.406 0.406 0.879
Pr 0.594 0.594 0.121
Pr 0.594 0.594 0.379
Pr 0.695 0.695 0.682
Pr 0.695 0.695 0.818
Pr 0.860 0.860 0.038
Pr 0.860 0.860 0.462
Pr 0.963 0.963 0.750
Sn 0.310 0.310 0.750
Sn 0.690 0.690 0.250
Te 0.054 0.054 0.645
Te 0.054 0.054 0.855
Te 0.222 0.222 0.073
Te 0.222 0.222 0.427
Te 0.500 0.500 0.000
Te 0.500 0.500 0.500
Te 0.778 0.778 0.573
Te 0.778 0.778 0.927
Te 0.946 0.946 0.145
Te 0.946 0.946 0.355
CELL_PARAMETERS angstrom
7.370 -2.244 0.000
7.370 2.244 0.000
-0.009 0.000 26.522
```


(4)
The following is a PBE-GGA calculation of Pr2SnTe4 after structural relaxation, from Alexandria. Values from VASP.

Distance to the lowest polymorph of the same formula = 3 meV/atom
Formation energy without anion corrections = -1.060 eV/atom

```
&SYSTEM
  ibrav = 0, nat = 14, ntyp = 3
/
ATOMIC_SPECIES
Pr 140.91 Pr.upf
Sn 118.71 Sn.upf
Te 127.60 Te.upf
ATOMIC_POSITIONS crystal
Pr 0.092 0.179 0.000
Pr 0.408 0.679 0.000
Pr 0.592 0.321 0.000
Pr 0.908 0.821 0.000
Sn 0.000 0.500 0.500
Sn 0.500 0.000 0.500
Te 0.140 0.720 0.500
Te 0.245 0.954 0.000
Te 0.255 0.454 0.000
Te 0.360 0.220 0.500
Te 0.640 0.780 0.500
Te 0.745 0.546 0.000
Te 0.755 0.046 0.000
Te 0.860 0.280 0.500
CELL_PARAMETERS angstrom
8.066 0.000 0.000
0.000 12.996 0.000
0.000 0.000 4.678
```


(5)
The following is a PBE-GGA calculation of PrSn2Te4 after structural relaxation, from Alexandria. Values from VASP.

Formation energy without anion corrections = -0.625 eV/atom

```
&SYSTEM
  ibrav = 0, nat = 14, ntyp = 3
/
ATOMIC_SPECIES
Pr 140.91 Pr.upf
Sn 118.71 Sn.upf
Te 127.60 Te.upf
ATOMIC_POSITIONS crystal
Pr 0.102 0.898 0.750
Pr 0.898 0.102 0.250
Sn 0.364 0.636 0.560
Sn 0.364 0.636 0.940
Sn 0.636 0.364 0.060
Sn 0.636 0.364 0.440
Te 0.000 0.000 0.000
Te 0.000 0.000 0.500
Te 0.280 0.720 0.131
Te 0.280 0.720 0.369
Te 0.447 0.553 0.750
Te 0.553 0.447 0.250
Te 0.720 0.280 0.631
Te 0.720 0.280 0.869
CELL_PARAMETERS angstrom
2.208 -7.348 0.000
2.208 7.348 0.000
0.000 0.000 14.599
```


(6)
The following is a PBE-GGA calculation of Pr2SnTe after structural relaxation, from Alexandria. Values from VASP.

Distance to the lowest polymorph of the same formula = 10 meV/atom
Formation energy without anion corrections = -1.128 eV/atom

```
&SYSTEM
  ibrav = 0, nat = 4, ntyp = 3
/
ATOMIC_SPECIES
Pr 140.91 Pr.upf
Sn 118.71 Sn.upf
Te 127.60 Te.upf
ATOMIC_POSITIONS crystal
Pr 0.247 0.247 0.247
Pr 0.753 0.753 0.753
Sn 0.500 0.500 0.500
Te 0.000 0.000 0.000
CELL_PARAMETERS angstrom
2.275 1.313 7.498
-2.275 1.313 7.498
0.000 -2.627 7.498
```